Record 1
A relaxed K3SrRe2O9 crystal. Source: Alexandria, functional PBE.

```
K3SrRe2O9
1.0
5.829 0.000 0.000
-2.914 5.048 0.000
0.000 0.000 7.567
K Sr Re O
3 1 2 9
Cartesian
0.000 0.000 0.000
0.000 3.365 5.259
2.914 1.683 2.309
0.000 0.000 3.784
0.000 3.365 1.175
2.914 1.683 6.392
-1.457 2.524 0.000
0.000 1.833 2.182
-1.327 4.131 2.182
1.587 0.916 5.385
2.914 0.000 0.000
1.457 2.524 0.000
1.327 4.131 2.182
4.241 0.916 5.385
2.914 3.215 5.385
```

Output
theoretical density = 5.38 g/cm³
volume = 14.8 Å³ per atom
raw total energy = -6.866 eV per atom
formation energy from raw total energies = -1.900 eV per atom



Record 2
A relaxed K3SrRe2O8 crystal. Source: Alexandria, functional PBE.

```
K3SrRe2O8
1.0
6.274 0.000 0.000
-3.137 5.433 0.000
0.000 0.000 7.899
K Sr Re O
3 1 2 8
Cartesian
0.000 0.000 0.000
0.000 3.622 5.223
3.137 1.811 2.676
0.000 0.000 3.950
0.000 3.622 1.659
3.137 1.811 6.241
0.000 1.938 2.419
-1.458 4.464 2.419
0.000 3.622 7.768
1.679 0.969 5.480
1.458 4.464 2.419
3.137 1.811 0.132
4.595 0.969 5.480
3.137 3.495 5.480
```

Output
theoretical density = 4.35 g/cm³
volume = 19.2 Å³ per atom
raw total energy = -6.776 eV per atom
formation energy from raw total energies = -1.809 eV per atom



Record 3
A relaxed KSrReO4 crystal. Source: Alexandria, functional PBE.

```
KSrReO4
1.0
6.548 0.000 0.000
0.000 6.061 0.000
-1.979 0.000 6.962
K Sr Re O
2 2 2 8
Cartesian
0.653 1.515 3.173
3.915 4.546 3.789
0.099 1.515 6.806
4.470 4.546 0.156
1.164 4.546 1.176
3.404 1.515 5.786
-1.393 4.546 6.463
-0.171 4.546 2.357
2.642 3.326 1.451
2.642 5.766 1.451
1.927 0.295 5.511
1.927 2.736 5.511
4.740 1.515 4.605
5.961 1.515 0.499
```

Output
theoretical density = 4.53 g/cm³
volume = 19.7 Å³ per atom
raw total energy = -6.857 eV per atom
formation energy from raw total energies = -1.849 eV per atom



Record 4
A relaxed KSr2ReO5 crystal. Source: Alexandria, functional PBE.

```
KSr2ReO5
1.0
-1.948 3.109 5.821
1.948 -3.109 5.821
1.948 3.109 -5.821
K Sr Re O
1 2 1 5
Cartesian
0.000 0.000 0.000
1.948 0.000 3.230
0.000 3.109 2.591
0.000 0.000 5.821
1.948 1.751 -1.490
1.948 1.751 1.490
0.000 3.109 0.000
0.000 1.358 4.332
0.000 1.358 7.311
```

Output
theoretical density = 5.66 g/cm³
volume = 15.7 Å³ per atom
raw total energy = -6.788 eV per atom
formation energy from raw total energies = -2.155 eV per atom



Record 5
A relaxed KTaReO6 crystal. Source: Alexandria, functional PBE.

```
KTaReO6
1.0
-3.654 3.702 5.219
3.654 -3.702 5.219
3.654 3.702 -5.219
K Ta Re O
2 2 2 12
Cartesian
0.000 1.851 1.336
3.654 1.851 3.883
3.654 0.000 0.000
0.000 0.000 5.219
1.827 1.851 -2.609
1.827 -1.851 2.609
3.654 -1.851 3.133
2.217 -0.496 1.300
5.091 -0.496 1.300
2.217 3.205 -1.300
1.437 -0.496 3.919
3.654 1.851 0.689
0.000 1.851 4.530
2.217 4.198 1.300
1.437 0.496 6.518
-1.437 4.198 3.919
1.437 4.198 3.919
0.000 5.553 2.086
```

Output
theoretical density = 5.91 g/cm³
volume = 15.7 Å³ per atom
raw total energy = -8.275 eV per atom
formation energy from raw total energies = -2.148 eV per atom



Record 6
A relaxed K2TaRe3O12 crystal. Source: Alexandria, functional PBE.

```
K2TaRe3O12
1.0
3.648 2.106 6.040
-3.648 2.106 6.040
0.000 -4.212 6.040
K Ta Re O
2 1 3 12
Cartesian
0.000 0.000 2.443
0.000 0.000 15.676
0.000 0.000 9.060
-1.824 -1.053 6.040
-1.824 1.053 12.080
0.000 2.106 6.040
-1.424 -0.822 7.930
0.000 -1.574 5.741
-1.363 0.787 5.741
0.000 -1.644 10.189
-1.424 0.822 10.189
-1.363 -0.787 12.379
1.363 0.787 5.741
1.424 -0.822 7.930
0.000 1.644 7.930
1.363 -0.787 12.379
0.000 1.574 12.379
1.424 0.822 10.189
```

Output
theoretical density = 6.02 g/cm³
volume = 15.5 Å³ per atom
raw total energy = -8.031 eV per atom
formation energy from raw total energies = -1.870 eV per atom



Record 7
A relaxed KTbRe2O8 crystal. Source: Alexandria, functional PBE.

```
KTbRe2O8
1.0
6.029 0.000 0.000
-3.015 5.221 0.000
0.000 0.000 7.602
K Tb Re O
1 1 2 8
Cartesian
0.000 0.000 0.000
0.000 0.000 3.801
0.000 3.481 5.823
3.015 1.740 1.778
0.000 1.779 5.204
-1.474 4.332 5.204
0.000 3.481 7.587
1.541 0.889 2.398
1.474 4.332 5.204
3.015 1.740 0.015
4.489 0.889 2.398
3.015 3.442 2.398
```

Output
theoretical density = 4.85 g/cm³
volume = 19.9 Å³ per atom
raw total energy = -7.858 eV per atom
formation energy from raw total energies = -2.001 eV per atom



Record 8
A relaxed K2TbReO6 crystal. Source: Alexandria, functional PBE.

```
K2TbReO6
1.0
0.000 4.183 4.183
4.183 0.000 4.183
4.183 4.183 0.000
K Tb Re O
2 1 1 6
Cartesian
2.092 2.092 2.092
6.275 6.275 6.275
0.000 0.000 0.000
4.183 4.183 4.183
4.183 4.183 2.279
4.183 2.279 4.183
6.087 4.183 4.183
2.279 4.183 4.183
4.183 6.087 4.183
4.183 4.183 6.087
```

Output
theoretical density = 5.89 g/cm³
volume = 14.6 Å³ per atom
raw total energy = -7.133 eV per atom
formation energy from raw total energies = -2.230 eV per atom



Copy entry 8 word for word.
A relaxed K2TbReO6 crystal. Source: Alexandria, functional PBE.

```
K2TbReO6
1.0
0.000 4.183 4.183
4.183 0.000 4.183
4.183 4.183 0.000
K Tb Re O
2 1 1 6
Cartesian
2.092 2.092 2.092
6.275 6.275 6.275
0.000 0.000 0.000
4.183 4.183 4.183
4.183 4.183 2.279
4.183 2.279 4.183
6.087 4.183 4.183
2.279 4.183 4.183
4.183 6.087 4.183
4.183 4.183 6.087
```

Output
theoretical density = 5.89 g/cm³
volume = 14.6 Å³ per atom
raw total energy = -7.133 eV per atom
formation energy from raw total energies = -2.230 eV per atom



Copy entry 2 word for word.
A relaxed K3SrRe2O8 crystal. Source: Alexandria, functional PBE.

```
K3SrRe2O8
1.0
6.274 0.000 0.000
-3.137 5.433 0.000
0.000 0.000 7.899
K Sr Re O
3 1 2 8
Cartesian
0.000 0.000 0.000
0.000 3.622 5.223
3.137 1.811 2.676
0.000 0.000 3.950
0.000 3.622 1.659
3.137 1.811 6.241
0.000 1.938 2.419
-1.458 4.464 2.419
0.000 3.622 7.768
1.679 0.969 5.480
1.458 4.464 2.419
3.137 1.811 0.132
4.595 0.969 5.480
3.137 3.495 5.480
```

Output
theoretical density = 4.35 g/cm³
volume = 19.2 Å³ per atom
raw total energy = -6.776 eV per atom
formation energy from raw total energies = -1.809 eV per atom



Question: Look up the volume of the second one.
Answer: 19.2 Å³ per atom



Question: Which of these has the highest raw total energy?
Answer: K3SrRe2O8